DFT (GGA-PBE) results for a relaxed structure of GeBi2Te2.

extended XYZ file:
```
10
Lattice="8.0824 0.0000 0.0000 0.0000 8.0824 0.0000 0.0000 0.0000 4.7401" Properties=species:S:1:pos:R:3 pbc="T T T"
Ge 0.0000 0.0000 0.0000
Ge 4.0412 4.0412 0.0000
Bi 1.1639 2.8773 2.3700
Bi 2.8773 6.9185 2.3700
Bi 5.2051 1.1639 2.3700
Bi 6.9185 5.2051 2.3700
Te 1.3739 5.4151 0.0000
Te 2.6673 1.3739 0.0000
Te 5.4151 6.7085 0.0000
Te 6.7085 2.6673 0.0000
```

Calculated values
Total energy (eV per atom): -3.5150
Formation energy without anion corrections (eV/atom): 0.218
Volume (Å³/atom): 30.96
Total magnetization (μB/f.u.): 0.0